CsGe2Sb2: optimized geometry, PBE.

```
CsGe2Sb2
1.0
9.276 0.000 0.000
0.000 9.276 0.000
0.000 0.000 3.782
Cs Ge Sb
2 4 4
Cartesian
0.000 0.000 0.000 Cs
4.638 4.638 0.000 Cs
1.142 3.496 1.891 Ge
3.496 8.134 1.891 Ge
5.780 1.142 1.891 Ge
8.134 5.780 1.891 Ge
1.139 5.777 0.000 Sb
3.499 1.139 0.000 Sb
5.777 8.137 0.000 Sb
8.137 3.499 0.000 Sb
```

Calculated values
- E_tot: -3.5782 eV/atom
- Energy relative to the elements, uncorrected: 0.09 eV/atom
- N(E_F): 5.219 states/eV per cell
- Polymorph energy (0 for the lowest one): 218 meV/atom
- Total moment: 0.0 μB/cell